Computed, not measured: an optimized crystal structure of AcCu4Ge at the PBE level of DFT.

```
data_AcCu4Ge
_space_group_name_H-M_alt 'F -4 3 m'
_space_group_IT_number 216
_space_group_name_Hall 'F -4 2 3'
_cell_length_a 7.482
_cell_length_b 7.482
_cell_length_c 7.482
_cell_angle_alpha 90.00
_cell_angle_beta 90.00
_cell_angle_gamma 90.00
loop_
_atom_site_label
_atom_site_type_symbol
_atom_site_fract_x
_atom_site_fract_y
_atom_site_fract_z
Ac1 Ac 0.000 0.000 0.000
Cu1 Cu 0.123 0.123 0.377
Ge1 Ge 0.250 0.250 0.750
```

uncorrected energy: -101.840 eV per cell

=====

Computed, not measured: an optimized crystal structure of Ac2CuGe at the PBE level of DFT.

```
data_Ac2CuGe
_space_group_name_H-M_alt 'C 1 2/c 1'
_space_group_IT_number 15
_space_group_name_Hall '-C 2yc'
_cell_length_a 11.510
_cell_length_b 4.578
_cell_length_c 10.147
_cell_angle_alpha 90.00
_cell_angle_beta 116.17
_cell_angle_gamma 90.00
loop_
_atom_site_label
_atom_site_type_symbol
_atom_site_fract_x
_atom_site_fract_y
_atom_site_fract_z
Ac1 Ac 0.176 0.001 0.088
Cu1 Cu 0.000 0.006 0.250
Ge1 Ge 0.000 0.494 0.750
```

polymorph energy (0 for the lowest one): 0.334 eV/atom
uncorrected energy: -69.361 eV per cell

=====

Computed, not measured: an optimized crystal structure of Ac2CuGe4 at the PBE level of DFT.

```
data_Ac2CuGe4
_space_group_name_H-M_alt 'P 4/m m m'
_space_group_IT_number 123
_space_group_name_Hall '-P 4 2'
_cell_length_a 6.080
_cell_length_b 6.080
_cell_length_c 4.959
_cell_angle_alpha 90.00
_cell_angle_beta 90.00
_cell_angle_gamma 90.00
loop_
_atom_site_label
_atom_site_type_symbol
_atom_site_fract_x
_atom_site_fract_y
_atom_site_fract_z
Ac1 Ac 0.000 0.500 0.000
Cu1 Cu 0.000 0.000 0.500
Ge1 Ge 0.285 0.285 0.500
```

uncorrected energy: -33.414 eV per cell